Record 1
Compound: Cd2Pb
Source: Alexandria via LeMat-Bulk
Functional: PBE-GGA
Structure: optimized geometry

Lattice parameters (Å, degrees): 8.562 8.562 8.562 90.00 90.00 90.00
Space group Fd-3m (No. 227, origin choice 2)
Asymmetric unit:
Cd 0.000 0.000 0.000 x16
Pb 0.125 0.125 0.625 x8

Properties
magnetic moment = 0.00 Bohr magnetons per cell
energy = -1.80 eV/atom
volume = 78 Å³/f.u.
ρ = 9.14 g cm⁻³

Record 2
Compound: Cd12Pb17
Source: Alexandria via LeMat-Bulk
Functional: PBE-GGA
Structure: optimized geometry

Lattice parameters (Å, degrees): 11.786 11.786 11.786 90.00 90.00 90.00
Space group I-43m (No. 217)
Asymmetric unit:
Cd 0.092 0.092 0.278 x24
Pb 0.000 0.000 0.000 x2
Pb 0.048 0.359 0.359 x24
Pb 0.169 0.169 0.831 x8

Properties
magnetic moment = 0.00 Bohr magnetons per cell
energy = -2.52 eV/atom
volume = 819 Å³/f.u.
ρ = 9.88 g cm⁻³

Record 3
Compound: Cd3Pb
Source: Alexandria via LeMat-Bulk
Functional: PBE-GGA
Structure: optimized geometry

Lattice parameters (Å, degrees): 3.622 10.362 5.490 90.00 90.00 90.00
Space group Imm2 (No. 44)
Asymmetric unit:
Cd 0.000 0.000 0.000 x2
Cd 0.000 0.258 0.627 x4
Pb 0.000 0.500 0.004 x2

Properties
magnetic moment = 0.00 Bohr magnetons per cell
energy = -1.55 eV/atom
volume = 103 Å³/f.u.
ρ = 8.78 g cm⁻³

Record 4
Compound: Cd5Pb
Source: Alexandria via LeMat-Bulk
Functional: PBE-GGA
Structure: optimized geometry

Lattice parameters (Å, degrees): 3.337 3.337 13.066 90.00 90.00 90.00
Space group P4/mmm (No. 123)
Asymmetric unit:
Cd 0.000 0.000 0.000 x1
Cd 0.000 0.000 0.314 x2
Cd 0.500 0.500 0.157 x2
Pb 0.500 0.500 0.500 x1

Properties
magnetic moment = 0.00 Bohr magnetons per cell
energy = -1.34 eV/atom
volume = 146 Å³/f.u.
ρ = 8.78 g cm⁻³